*A*
# LuSc2Cd (PBE-GGA, optimized geometry)
# - DOS at the Fermi energy (states/eV per atom) = 1.24
# - space group = P4/mmm
data_LuSc2Cd
_cell_length_a 4.633
_cell_length_b 4.574
_cell_length_c 4.574
_cell_angle_alpha 90.00
_cell_angle_beta 90.00
_cell_angle_gamma 90.00
_symmetry_space_group_name_H-M 'P 1'
_symmetry_Int_Tables_number 1
loop_
_symmetry_equiv_pos_as_xyz
'x,y,z'
loop_
_atom_site_label
_atom_site_fract_x
_atom_site_fract_y
_atom_site_fract_z
_atom_site_occupancy
Sc1 0.000 0.000 0.500 1
Sc2 0.000 0.500 0.000 1
Lu1 0.500 0.000 0.000 1
Cd1 0.500 0.500 0.500 1


*B*
# LuSc2Cd (PBE-GGA, optimized geometry)
# - DOS at the Fermi energy (states/eV per atom) = 1.49
# - space group = Fm-3m
data_LuSc2Cd
_cell_length_a 5.158
_cell_length_b 5.158
_cell_length_c 5.158
_cell_angle_alpha 60.00
_cell_angle_beta 60.00
_cell_angle_gamma 60.00
_symmetry_space_group_name_H-M 'P 1'
_symmetry_Int_Tables_number 1
loop_
_symmetry_equiv_pos_as_xyz
'x,y,z'
loop_
_atom_site_label
_atom_site_fract_x
_atom_site_fract_y
_atom_site_fract_z
_atom_site_occupancy
Sc1 0.250 0.250 0.250 1
Sc2 0.750 0.750 0.750 1
Lu1 0.000 0.000 0.000 1
Cd1 0.500 0.500 0.500 1


Unit: kJ/mol of atoms. Relative energies: *A* 0.0; *B* 9.3.


*A*
# Sr2LuCd (PBE-GGA, optimized geometry)
# - DOS at the Fermi energy (states/eV per atom) = 0.96
# - space group = P4/mmm
data_Sr2LuCd
_cell_length_a 4.218
_cell_length_b 4.218
_cell_length_c 8.118
_cell_angle_alpha 90.00
_cell_angle_beta 90.00
_cell_angle_gamma 90.00
_symmetry_space_group_name_H-M 'P 1'
_symmetry_Int_Tables_number 1
loop_
_symmetry_equiv_pos_as_xyz
'x,y,z'
loop_
_atom_site_label
_atom_site_fract_x
_atom_site_fract_y
_atom_site_fract_z
_atom_site_occupancy
Sr1 0.000 0.000 0.767 1
Sr2 0.000 0.000 0.233 1
Lu1 0.500 0.500 0.500 1
Cd1 0.500 0.500 0.000 1


*B*
# Sr2LuCd (PBE-GGA, optimized geometry)
# - DOS at the Fermi energy (states/eV per atom) = 1.33
# - space group = R-3m
data_Sr2LuCd
_cell_length_a 3.786
_cell_length_b 3.786
_cell_length_c 12.507
_cell_angle_alpha 81.29
_cell_angle_beta 81.29
_cell_angle_gamma 60.00
_symmetry_space_group_name_H-M 'P 1'
_symmetry_Int_Tables_number 1
loop_
_symmetry_equiv_pos_as_xyz
'x,y,z'
loop_
_atom_site_label
_atom_site_fract_x
_atom_site_fract_y
_atom_site_fract_z
_atom_site_occupancy
Sr1 0.095 0.095 0.716 1
Sr2 0.905 0.905 0.284 1
Lu1 0.000 0.000 0.000 1
Cd1 0.500 0.500 0.500 1


Unit: kJ/mol of atoms. Relative energies: *A* 0.0; *B* 22.0.


*A*
# SrLu2Cd (PBE-GGA, optimized geometry)
# - DOS at the Fermi energy (states/eV per atom) = 1.32
# - space group = P4/mmm
data_SrLu2Cd
_cell_length_a 3.706
_cell_length_b 3.706
_cell_length_c 9.450
_cell_angle_alpha 90.00
_cell_angle_beta 90.00
_cell_angle_gamma 90.00
_symmetry_space_group_name_H-M 'P 1'
_symmetry_Int_Tables_number 1
loop_
_symmetry_equiv_pos_as_xyz
'x,y,z'
loop_
_atom_site_label
_atom_site_fract_x
_atom_site_fract_y
_atom_site_fract_z
_atom_site_occupancy
Sr1 0.500 0.500 0.500 1
Lu1 0.000 0.000 0.811 1
Lu2 0.000 0.000 0.189 1
Cd1 0.500 0.500 0.000 1


*B*
# SrLu2Cd (PBE-GGA, optimized geometry)
# - DOS at the Fermi energy (states/eV per atom) = 1.28
# - space group = R-3m
data_SrLu2Cd
_cell_length_a 3.593
_cell_length_b 3.593
_cell_length_c 11.976
_cell_angle_alpha 81.37
_cell_angle_beta 81.37
_cell_angle_gamma 60.00
_symmetry_space_group_name_H-M 'P 1'
_symmetry_Int_Tables_number 1
loop_
_symmetry_equiv_pos_as_xyz
'x,y,z'
loop_
_atom_site_label
_atom_site_fract_x
_atom_site_fract_y
_atom_site_fract_z
_atom_site_occupancy
Sr1 0.000 0.000 0.000 1
Lu1 0.099 0.099 0.702 1
Lu2 0.901 0.901 0.298 1
Cd1 0.500 0.500 0.500 1


Unit: kJ/mol of atoms. Relative energies: *A* 0.0; *B* 20.2.


*A*
# TbLu2Cd (PBE-GGA, optimized geometry)
# - DOS at the Fermi energy (states/eV per atom) = 1.06
# - space group = R-3m
data_TbLu2Cd
_cell_length_a 3.513
_cell_length_b 3.513
_cell_length_c 10.818
_cell_angle_alpha 80.66
_cell_angle_beta 80.66
_cell_angle_gamma 60.00
_symmetry_space_group_name_H-M 'P 1'
_symmetry_Int_Tables_number 1
loop_
_symmetry_equiv_pos_as_xyz
'x,y,z'
loop_
_atom_site_label
_atom_site_fract_x
_atom_site_fract_y
_atom_site_fract_z
_atom_site_occupancy
Lu1 0.256 0.256 0.233 1
Lu2 0.744 0.744 0.767 1
Tb1 0.500 0.500 0.500 1
Cd1 0.000 0.000 0.000 1


*B*
# TbLu2Cd (PBE-GGA, optimized geometry)
# - DOS at the Fermi energy (states/eV per atom) = 1.42
# - space group = Fm-3m
data_TbLu2Cd
_cell_length_a 5.374
_cell_length_b 5.374
_cell_length_c 5.374
_cell_angle_alpha 60.00
_cell_angle_beta 60.00
_cell_angle_gamma 60.00
_symmetry_space_group_name_H-M 'P 1'
_symmetry_Int_Tables_number 1
loop_
_symmetry_equiv_pos_as_xyz
'x,y,z'
loop_
_atom_site_label
_atom_site_fract_x
_atom_site_fract_y
_atom_site_fract_z
_atom_site_occupancy
Lu1 0.250 0.250 0.250 1
Lu2 0.750 0.750 0.750 1
Tb1 0.000 0.000 0.000 1
Cd1 0.500 0.500 0.500 1


Unit: kJ/mol of atoms. Relative energies: *A* 0.0; *B* 9.2.


*A*
# TbLu2Cd (PBE-GGA, optimized geometry)
# - DOS at the Fermi energy (states/eV per atom) = 1.25
# - space group = P4/mmm
data_TbLu2Cd
_cell_length_a 4.786
_cell_length_b 4.792
_cell_length_c 4.792
_cell_angle_alpha 90.00
_cell_angle_beta 90.00
_cell_angle_gamma 90.00
_symmetry_space_group_name_H-M 'P 1'
_symmetry_Int_Tables_number 1
loop_
_symmetry_equiv_pos_as_xyz
'x,y,z'
loop_
_atom_site_label
_atom_site_fract_x
_atom_site_fract_y
_atom_site_fract_z
_atom_site_occupancy
Lu1 0.000 0.000 0.500 1
Lu2 0.000 0.500 0.000 1
Tb1 0.500 0.500 0.500 1
Cd1 0.500 0.000 0.000 1


*B*
# TbLu2Cd (PBE-GGA, optimized geometry)
# - DOS at the Fermi energy (states/eV per atom) = 1.02
# - space group = P4/mmm
data_TbLu2Cd
_cell_length_a 3.523
_cell_length_b 3.523
_cell_length_c 8.982
_cell_angle_alpha 90.00
_cell_angle_beta 90.00
_cell_angle_gamma 90.00
_symmetry_space_group_name_H-M 'P 1'
_symmetry_Int_Tables_number 1
loop_
_symmetry_equiv_pos_as_xyz
'x,y,z'
loop_
_atom_site_label
_atom_site_fract_x
_atom_site_fract_y
_atom_site_fract_z
_atom_site_occupancy
Lu1 0.000 0.000 0.774 1
Lu2 0.000 0.000 0.226 1
Tb1 0.500 0.500 0.500 1
Cd1 0.500 0.500 0.000 1


Unit: kJ/mol of atoms. Relative energies: *A* 5.9; *B* 0.0.


*A*
# TbLuCd (PBE-GGA, optimized geometry)
# - DOS at the Fermi energy (states/eV per atom) = 1.17
# - space group = P3m1
data_TbLuCd
_cell_length_a 3.522
_cell_length_b 5.218
_cell_length_c 5.218
_cell_angle_alpha 120.00
_cell_angle_beta 90.00
_cell_angle_gamma 90.00
_symmetry_space_group_name_H-M 'P 1'
_symmetry_Int_Tables_number 1
loop_
_symmetry_equiv_pos_as_xyz
'x,y,z'
loop_
_atom_site_label
_atom_site_fract_x
_atom_site_fract_y
_atom_site_fract_z
_atom_site_occupancy
Lu1 0.921 0.000 0.000 1
Tb1 0.371 0.333 0.667 1
Cd1 0.708 0.667 0.333 1


*B*
# TbLuCd (PBE-GGA, optimized geometry)
# - DOS at the Fermi energy (states/eV per atom) = 1.25
# - space group = I4mm
data_TbLuCd
_cell_length_a 3.554
_cell_length_b 3.554
_cell_length_c 7.005
_cell_angle_alpha 104.70
_cell_angle_beta 104.70
_cell_angle_gamma 90.00
_symmetry_space_group_name_H-M 'P 1'
_symmetry_Int_Tables_number 1
loop_
_symmetry_equiv_pos_as_xyz
'x,y,z'
loop_
_atom_site_label
_atom_site_fract_x
_atom_site_fract_y
_atom_site_fract_z
_atom_site_occupancy
Lu1 0.322 0.322 0.644 1
Tb1 0.008 0.008 0.015 1
Cd1 0.670 0.670 0.340 1


Unit: kJ/mol of atoms. Relative energies: *A* 11.0; *B* 0.0.